1.
Li3Mg2Ag8: optimized geometry, GGA-PBE.

Output
Formation energy, eV/atom: -0.13
Energy above the lowest structure with this stoichiometry, eV per formula unit: 0.00
Crystal system: monoclinic

a b c (Å): 6.531 4.086 9.019
angles (deg): 90.00 98.32 90.00
Space group P2/m (No. 10)
Symmetry-distinct sites (fractional):
Li (0.000, 0.000, 0.000) x1
Li (0.297, 0.500, 0.926) x2
Mg (0.258, 0.000, 0.428) x2
Ag (0.127, 0.500, 0.203) x2
Ag (0.153, 0.000, 0.725) x2
Ag (0.416, 0.000, 0.137) x2
Ag (0.434, 0.500, 0.643) x2

---

2.
Sr2TePt: optimized geometry, GGA-PBE.

Output
Energy above the lowest structure with this stoichiometry, eV per formula unit: 0.90
Crystal system: tetragonal
Energy relative to the elements, uncorrected, eV/atom: -0.925

a b c (Å): 8.139 8.139 8.869
angles (deg): 90.00 90.00 90.00
Space group I-42d (No. 122)
Symmetry-distinct sites (fractional):
Sr (0.220, 0.250, 0.125) x8
Te (0.000, 0.000, 0.500) x4
Pt (0.000, 0.000, 0.000) x4

---

3.
TePSO2: optimized geometry, GGA-PBE.

Output
Crystal system: tetragonal
Energy relative to the elements, uncorrected, eV/atom: 0.003

a b c (Å): 3.835 3.835 5.726
angles (deg): 90.00 90.00 90.00
Space group P4/mmm (No. 123)
Symmetry-distinct sites (fractional):
Te (0.000, 0.000, 0.000) x1
P (0.000, 0.000, 0.500) x1
S (0.500, 0.500, 0.500) x1
O (0.000, 0.500, 0.000) x2

---

4.
Ca2Co3Ge4: optimized geometry, GGA-PBE.

Output
Formation energy, eV/atom: -0.33
Crystal system: orthorhombic

a b c (Å): 5.378 9.460 12.189
angles (deg): 90.00 90.00 90.00
Space group Fmmm (No. 69)
Symmetry-distinct sites (fractional):
Ca (0.000, 0.000, 0.132) x8
Co (0.000, 0.000, 0.500) x4
Co (0.250, 0.250, 0.000) x8
Ge (0.000, 0.173, 0.353) x16

---

5.
KBeNi2Pd: optimized geometry, GGA-PBE.

Output
Formation energy, eV/atom: 1.41
Crystal system: tetragonal

a b c (Å): 4.716 4.716 5.646
angles (deg): 90.00 90.00 90.00
Space group P4/mmm (No. 123)
Symmetry-distinct sites (fractional):
K (0.000, 0.000, 0.000) x1
Be (0.500, 0.500, 0.000) x1
Ni (0.000, 0.500, 0.500) x2
Pd (0.000, 0.000, 0.500) x1

---

6.
NdMg2Ag2: optimized geometry, GGA-PBE.

Output
Formation energy, eV/atom: -0.21
Crystal system: tetragonal

a b c (Å): 4.245 4.245 13.020
angles (deg): 90.00 90.00 90.00
Space group I4/mmm (No. 139)
Symmetry-distinct sites (fractional):
Nd (0.000, 0.000, 0.000) x2
Mg (0.000, 0.500, 0.250) x4
Ag (0.000, 0.000, 0.393) x4

---

7.
LaTe2As: optimized geometry, GGA-PBE.

Output
Crystal system: monoclinic
Energy relative to the elements, uncorrected, eV/atom: -0.781

a b c (Å): 4.351 4.051 6.831
angles (deg): 90.00 104.36 90.00
Space group P2/m (No. 10)
Symmetry-distinct sites (fractional):
La (0.000, 0.000, 0.000) x1
Te (0.379, 0.500, 0.745) x2
As (0.000, 0.000, 0.500) x1

---

8.
Ca3Cr: optimized geometry, GGA-PBE.

Output
Formation energy, eV/atom: 0.40
Crystal system: tetragonal

a b c (Å): 5.105 5.105 20.507
angles (deg): 90.00 90.00 90.00
Space group I4/mmm (No. 139)
Symmetry-distinct sites (fractional):
Ca (0.000, 0.000, 0.124) x4
Ca (0.000, 0.500, 0.000) x4
Ca (0.000, 0.500, 0.250) x4
Cr (0.000, 0.000, 0.369) x4

---

9.
LaPd2O4: optimized geometry, GGA-PBE.

Output
Crystal system: tetragonal
Energy relative to the elements, uncorrected, eV/atom: -1.576

a b c (Å): 5.993 5.993 10.398
angles (deg): 90.00 90.00 90.00
Space group I4_1/a (No. 88, origin choice 2)
Symmetry-distinct sites (fractional):
La (0.000, 0.250, 0.125) x4
Pd (0.000, 0.000, 0.500) x8
O (0.152, 0.046, 0.326) x16

---

10.
CaTaCo2: optimized geometry, GGA-PBE.

Output
Formation energy, eV/atom: 0.36
Energy above the lowest structure with this stoichiometry, eV per formula unit: 1.50
Crystal system: tetragonal

a b c (Å): 3.223 3.223 6.959
angles (deg): 90.00 90.00 90.00
Space group P4mm (No. 99)
Symmetry-distinct sites (fractional):
Ca (0.000, 0.000, 0.000) x1
Ta (0.500, 0.500, 0.616) x1
Co (0.000, 0.000, 0.465) x1
Co (0.500, 0.500, 0.283) x1

---

11.
Tb2Pm2Pr5: optimized geometry, GGA-PBE.

Output
Formation energy, eV/atom: 0.10
Energy above the lowest structure with this stoichiometry, eV per formula unit: 0.00
Crystal system: monoclinic

a b c (Å): 16.812 6.000 6.442
angles (deg): 90.00 104.78 90.00
Space group C2/m (No. 12)
Symmetry-distinct sites (fractional):
Tb (0.230, 0.000, 0.137) x4
Pm (0.061, 0.500, 0.750) x4
Pr (0.000, 0.000, 0.000) x2
Pr (0.124, 0.000, 0.578) x4
Pr (0.151, 0.500, 0.297) x4

---

12.
Pm3Nd2SmSb6: optimized geometry, GGA-PBE.

Output
Crystal system: monoclinic
Energy relative to the elements, uncorrected, eV/atom: -1.186

a b c (Å): 19.607 4.501 8.996
angles (deg): 90.00 103.25 90.00
Space group C2/m (No. 12)
Symmetry-distinct sites (fractional):
Pm (0.000, 0.000, 0.000) x2
Pm (0.167, 0.500, 0.333) x4
Nd (0.166, 0.500, 0.833) x4
Sm (0.000, 0.000, 0.500) x2
Sb (0.001, 0.500, 0.251) x4
Sb (0.166, 0.000, 0.084) x4
Sb (0.166, 0.000, 0.581) x4

---

| no. | D(E_F) (states/eV per cell) |
| --- | --- |
| 1 | 3.8 |
| 2 | 0.0 |
| 3 | 2.5 |
| 4 | 21.1 |
| 5 | 7.0 |
| 6 | 9.4 |
| 7 | 1.7 |
| 8 | 17.7 |
| 9 | 20.8 |
| 10 | 5.3 |
| 11 | 28.8 |
| 12 | 3.8 |